Entry 1:
This record from Alexandria describes a geometry-optimized HfAsSe2Cl structure. The functional is GGA-PBE.

Its energy above the most stable polymorph in this dataset is 880 meV/atom. As for the energy relative to the elements, uncorrected: 71 kJ/mol of atoms.

Cell lengths 4.918, 4.918, 4.691 Å; angles 90.00, 90.00, 90.00 degrees
Sites, in units of the cell vectors:
1 Hf 0.000 0.000 0.000
2 As 0.500 0.500 0.000
3 Se 0.000 0.500 0.500
4 Se 0.500 0.000 0.500
5 Cl 0.500 0.500 0.500

Entry 2:
This record from Alexandria describes a geometry-optimized Cd2InPd5Au2 structure. The functional is GGA-PBE.

The calculation puts the energy of formation at -0.218 eV per atom.

Cell lengths 9.805, 9.805, 3.857 Å; angles 90.00, 90.00, 90.00 degrees
Sites, in units of the cell vectors:
1 Cd 0.157 0.343 0.000
2 Cd 0.343 0.843 0.000
3 Cd 0.657 0.157 0.000
4 Cd 0.843 0.657 0.000
5 In 0.000 0.000 0.000
6 In 0.500 0.500 0.000
7 Pd 0.000 0.500 0.500
8 Pd 0.012 0.797 0.500
9 Pd 0.203 0.012 0.500
10 Pd 0.297 0.512 0.500
11 Pd 0.488 0.297 0.500
12 Pd 0.500 0.000 0.500
13 Pd 0.512 0.703 0.500
14 Pd 0.703 0.488 0.500
15 Pd 0.797 0.988 0.500
16 Pd 0.988 0.203 0.500
17 Au 0.146 0.646 0.000
18 Au 0.354 0.146 0.000
19 Au 0.646 0.854 0.000
20 Au 0.854 0.354 0.000